No. 1
Material: MoOsPb2Se
Method: DFT, PBE
State: optimized geometry

```
MoOsPb2Se
1.0
-2.6341 -2.6451 -4.2960
-0.3021 -2.9918 2.0273
-9.9949 4.1734 4.6695
Pb Mo Os Se
4 2 2 2
Cartesian
-9.8967 1.0680 0.1014 Pb
-9.2790 1.2445 3.6976 Pb
-4.1306 0.6537 0.3492 Pb
-5.0503 -2.5146 -1.2197 Pb
-6.2520 1.8020 1.7277 Mo
-1.4057 -1.7806 0.4066 Mo
-2.5575 -0.6767 -1.3797 Os
-7.7060 -0.0859 1.9687 Os
-7.8128 -1.4839 -0.1102 Se
-2.6643 -2.0746 -3.4586 Se
```

Computed properties:
E_form (uncorrected): 0.375 eV per atom
total energy: -62.18 eV per cell
space group: Cm, No. 8
total magnetization: 0.0 μB per formula unit

No. 2
Material: HgAsP2O8
Method: DFT, PBE
State: optimized geometry

```
HgAsP2O8
1.0
4.8819 -0.1403 -0.3440
2.1275 4.3962 -0.3440
-0.2395 -0.1454 7.5938
Hg O As P
1 8 1 2
Cartesian
-0.1197 -0.0727 3.7969 Hg
4.4711 1.2367 1.0683 O
3.6103 0.7140 5.8375 O
1.3729 0.8336 7.0404 O
5.3971 3.2769 -0.1346 O
3.1597 3.3965 1.0683 O
2.2989 2.8738 5.8375 O
5.2008 3.1577 2.4813 O
1.5692 0.9528 4.4245 O
0.0000 0.0000 0.0000 As
4.6147 2.8019 1.1001 P
2.1553 1.3086 5.8057 P
```

Computed properties:
E_form (uncorrected): -1.535 eV per atom
total energy: -73.85 eV per cell
space group: C2/m, No. 12
total magnetization: 0.0 μB per formula unit

no.,volume (Å³ per atom)
1,24.28
2,13.73